# Rb5CdO3

A relaxed Rb5CdO3 crystal (GGA-PBE, Alexandria).

Calculated values
**D(E_F)**: 2.3 states/eV per cell
**Space group**: C2/m, No. 12
**Formation energy (no corrections)**: -0.85 eV/atom
**Distance to the lowest polymorph of the same formula**: 4.7 meV per atom
**Mass density**: 3.57 Mg/m³
**Total magnetization**: 0.00 μB per atom

Cell: 8.335 8.335 8.915 Å, 72.98 72.98 71.35°
Positions (direct):
Rb1 0.011 0.361 0.357
Rb2 0.306 0.694 0.000
Rb3 0.780 0.780 0.064
Rb4 0.413 0.413 0.379
Rb5 0.587 0.587 0.621
Rb6 0.220 0.220 0.936
Rb7 0.361 0.011 0.357
Rb8 0.694 0.306 0.000
Rb9 0.989 0.639 0.643
Rb10 0.639 0.989 0.643
Cd1 0.054 0.054 0.720
Cd2 0.946 0.946 0.280
O1 0.664 0.664 0.853
O2 0.772 0.772 0.389
O3 0.000 0.000 0.000
O4 0.000 0.000 0.500
O5 0.336 0.336 0.147
O6 0.228 0.228 0.611